The following is a DFT calculation (PBE) of an optimized crystal structure of AcB4Pd3O12.

Lattice parameters (Å, degrees): 6.333 6.333 6.333 102.77 102.77 102.77
Each line ends with the local moment (μB).
Sites, in units of the cell vectors:
Ac  0.000  0.000  0.000  0.00
B  0.947  0.053  0.500  0.01
B  0.053  0.500  0.947  0.01
B  0.500  0.947  0.053  0.01
B  0.500  0.500  0.500  0.01
Pd  0.548  0.452  0.000  0.23
Pd  0.452  0.000  0.548  0.23
Pd  0.000  0.548  0.452  0.23
O  0.500  0.359  0.641  0.03
O  0.909  0.500  0.091  0.02
O  0.091  0.909  0.500  0.02
O  0.500  0.091  0.909  0.02
O  0.379  0.978  0.205  0.02
O  0.205  0.379  0.978  0.02
O  0.978  0.205  0.379  0.02
O  0.621  0.795  0.022  0.02
O  0.022  0.621  0.795  0.02
O  0.795  0.022  0.621  0.02
O  0.641  0.500  0.359  0.03
O  0.359  0.641  0.500  0.03

Properties
Fermi-level density of states in states/eV per cell: 8.6
Total magnetization in μB/cell: 1.040
E_form (uncorrected) in eV/atom: -1.684
Space-group type: R32, No. 155
Mass density in g/cm3: 5.6
VASP energy in eV for the cell shown: -139.57